MgSiSn: relaxed, GGA-PBE.

Results
Formation energy from raw total energies   0.059 eV per atom
Symmetry   Pm, No. 6
DFT total energy   -3.615 eV per atom
Energy above the lowest structure with this stoichiometry   44 meV per atom

Cell: 5.4213 3.5984 7.2747 Å, 90.00 109.27 90.00°
Fractional positions:
Mg1 0.0000 0.0000 0.0000
Mg2 0.4446 0.5000 0.8435
Si1 0.6006 0.0000 0.6014
Si2 0.9058 0.5000 0.6917
Sn1 0.1115 0.5000 0.3848
Sn2 0.5855 0.0000 0.2170

CsScBi2: relaxed, GGA-PBE.

Results
Symmetry   R3m, No. 160
DFT total energy   -4.041 eV per atom
Energy above the lowest structure with this stoichiometry   106 meV per atom

Cell: 9.1382 9.1382 9.1382 Å, 29.40 29.40 29.40°
Fractional positions:
Cs1 0.0000 0.0000 0.0000
Sc1 0.1704 0.1704 0.1704
Bi1 0.5564 0.5564 0.5564
Bi2 0.7830 0.7830 0.7830

Ce2TiNiS5: relaxed, GGA-PBE.

Results
Formation energy from raw total energies   -1.594 eV per atom
Symmetry   Cmc2_1, No. 36
DFT total energy   -6.725 eV per atom

Cell: 8.2350 8.2350 11.3299 Å, 90.00 90.00 153.70°
Fractional positions:
Ce1 0.1191 0.8809 0.5000
Ce2 0.1219 0.8781 0.8693
Ce3 0.8781 0.1219 0.3693
Ce4 0.8809 0.1191 0.0000
Ti1 0.1802 0.8198 0.1855
Ti2 0.8198 0.1802 0.6855
Ni1 0.4335 0.5665 0.6010
Ni2 0.5665 0.4335 0.1010
S1 0.0338 0.9662 0.2009
S2 0.3028 0.6972 0.8377
S3 0.3041 0.6959 0.5380
S4 0.3425 0.6575 0.1851
S5 0.5005 0.4995 0.4312
S6 0.4995 0.5005 0.9312
S7 0.6575 0.3425 0.6851
S8 0.6959 0.3041 0.0380
S9 0.6972 0.3028 0.3377
S10 0.9662 0.0338 0.7009

Li4HBr2: relaxed, GGA-PBE.

Results
Symmetry   I4/mmm, No. 139
DFT total energy   -2.865 eV per atom

Cell: 9.7294 9.7294 9.7294 Å, 157.58 157.58 31.92°
Fractional positions:
Li1 0.0000 0.5000 0.5000
Li2 0.1735 0.1735 0.0000
Li3 0.5000 0.0000 0.5000
Li4 0.8265 0.8265 0.0000
H1 0.0000 0.0000 0.0000
Br1 0.3947 0.3947 0.0000
Br2 0.6053 0.6053 0.0000

What is the formula in the third record? Ce2TiNiS5

Among the records above, which one has the lowest DFT total energy? Ce2TiNiS5